## Mn4ZnO6 (GGA+U)

Data for a relaxed Mn4ZnO6 crystal.

## Properties
- DOS at the Fermi energy (states/eV/f.u.) = 2.9
- total moment (μB/cell) = 36.000
- VASP energy (eV per atom) = -7.041

abc: 5.3258 5.3258 15.5808
angles: 90.00 90.00 146.79
Each line ends with the local moment (μB).
Element x y z (fractional)
O  0.7083  0.2917  0.2500  0.02
O  0.2917  0.7083  0.7500  0.02
O  0.9499  0.0501  0.3424  -0.04
O  0.5000  0.5000  0.0000  0.04
Zn  0.6590  0.3410  0.7500  0.03
Mn  0.5971  0.4029  0.1404  4.53
O  0.0501  0.9499  0.8424  -0.04
O  0.7802  0.2198  0.9280  -0.03
O  0.0501  0.9499  0.6576  -0.04
Mn  0.8644  0.1356  0.4547  4.16
Mn  0.4029  0.5971  0.6404  4.53
O  0.2198  0.7802  0.0720  -0.03
Zn  0.3410  0.6590  0.2500  0.03
Mn  0.5971  0.4029  0.3596  4.53
O  0.2198  0.7802  0.4280  -0.03
Mn  0.1356  0.8644  0.5453  4.16
Mn  0.4029  0.5971  0.8596  4.53
O  0.9499  0.0501  0.1576  -0.04
Mn  0.8644  0.1356  0.0453  4.16
O  0.7802  0.2198  0.5720  -0.03
O  0.5000  0.5000  0.5000  0.04
Mn  0.1356  0.8644  0.9547  4.16